First-principles (PBE-GGA) data for Ho3Er2Pb2 after structural relaxation, as listed in Alexandria via LeMat-Bulk.

Values from the calculation:
- density (g cm⁻³) = 9.83
- formation energy from the elements (eV per atom) = -0.29

Lattice parameters (Å, degrees): 11.701 4.500 8.413 90.00 108.43 90.00
Space group C2/m (No. 12)
One atom of each set of equivalent atoms:
Ho: 0.000 0.000 0.000
Ho: 0.128 0.000 0.436
Er: 0.124 0.500 0.767
Pb: 0.178 0.500 0.186


First-principles (PBE-GGA) data for Ho5Er2Pb4 after structural relaxation, as listed in Alexandria via LeMat-Bulk.

Values from the calculation:
- density (g cm⁻³) = 9.61
- formation energy from the elements (eV per atom) = -0.02

Lattice parameters (Å, degrees): 24.391 3.507 8.034 90.00 91.52 90.00
Space group C2/m (No. 12)
One atom of each set of equivalent atoms:
Ho: 0.000 0.000 0.000
Ho: 0.087 0.500 0.277
Ho: 0.181 0.500 0.924
Er: 0.225 0.500 0.322
Pb: 0.042 0.500 0.681
Pb: 0.150 0.000 0.580